CoHI2O | the Alexandria database | PBE+U | optimized geometry; VASP energy = -13.30 eV for the cell shown; V = 93 Å³/cell; magnetization = 2.3 μB per cell; energy above the lowest structure with this stoichiometry = 319.5 meV per atom; D(E_F) = 1.012 states/eV/atom
1.0
-4.404 0.681 3.635
-0.579 -5.710 0.367
1.793 -0.042 2.180
I H Co O
2 1 1 1
direct
0.000 0.500 0.000
0.500 0.000 0.000
0.000 0.000 0.000
0.500 0.500 0.500
0.000 0.000 0.500